Computed, not measured: a relaxed P3Se crystal at the PBE level of DFT.

Density of states at the Fermi level (states/eV per atom): 0.329
E_form (uncorrected) (kJ/mol of atoms): 24
Calculated total energy (eV per atom): -4.681
Magnetic moment (μB/atom): 0.0000

Cell lengths 2.660, 7.009, 8.147 Å; angles 90.00, 90.00, 90.00 degrees
Fractional positions:
P (0.500, 0.739, 0.484)
P (0.500, 0.500, 0.661)
P (0.500, 0.761, 0.984)
P (0.500, 0.239, 0.984)
P (0.500, 0.000, 0.161)
P (0.500, 0.261, 0.484)
Se (0.500, 0.500, 0.211)
Se (0.500, 0.000, 0.711)